(1)
Material: Rb2GaAgOs
Method: DFT, PBE
State: relaxed

Lattice parameters (Å, degrees): 6.370 5.144 6.370 90.00 90.00 90.00
Last column: magnetic moment on the atom in μB.
Element x y z (fractional)
Ga 0.500 0.500 0.500  0.02
Os 0.000 0.500 0.000  2.06
Rb 0.000 0.000 0.500  0.00
Rb 0.500 0.000 0.000  0.00
Ag 0.000 0.000 0.000  0.08

Properties
- Density of states at the Fermi level: 4.36 states/eV/f.u.
- Uncorrected energy: -2.492 eV per atom
- Crystal system: tetragonal
- Total magnetization: 2.48 Bohr magnetons per cell
- Energy of formation: 6.6 eV per formula unit

(2)
Material: V2GaAgOs
Method: DFT, PBE
State: relaxed

Lattice parameters (Å, degrees): 4.602 5.171 4.602 90.00 90.00 90.00
Last column: magnetic moment on the atom in μB.
Element x y z (fractional)
Os 0.000 0.000 0.000  -0.33
Ga 0.500 0.500 0.500  0.02
Ag 0.000 0.500 0.000  -0.01
V 0.000 0.000 0.500  1.27
V 0.500 0.000 0.000  2.10

Properties
- Density of states at the Fermi level: 5.48 states/eV/f.u.
- Uncorrected energy: -5.991 eV per atom
- Crystal system: tetragonal
- Total magnetization: 3.58 Bohr magnetons per cell
- Energy of formation: 5.4 eV per formula unit

Which of these has the lowest uncorrected energy? V2GaAgOs